Here is a geometry-optimized HfAl structure from Alexandria. Energies are from PBE.

Cell: 8.719 8.719 8.719 Å, 90.00 90.00 90.00°
Each line ends with the local moment (μB).
Element x y z (fractional)
Hf 0.619 0.619 0.381  0.36
Hf 0.619 0.381 0.619  0.36
Hf 0.881 0.119 0.119  0.36
Hf 0.381 0.619 0.619  0.36
Hf 0.119 0.881 0.119  0.36
Hf 0.381 0.381 0.381  0.36
Hf 0.119 0.119 0.881  0.36
Hf 0.881 0.881 0.881  0.36
Al 0.691 0.691 0.691  0.00
Al 0.809 0.191 0.809  0.00
Al 0.191 0.191 0.191  0.00
Al 0.191 0.809 0.809  0.00
Al 0.691 0.309 0.309  0.00
Al 0.809 0.809 0.191  0.00
Al 0.309 0.309 0.691  0.00
Al 0.309 0.691 0.309  0.00

Its space group is I-43m, No. 217. The density comes out at 4.1 g/cm3. As for the total energy: -90.150 eV for the cell shown. As for the density of states at the Fermi level: 1.135 states/eV per atom.